1.
# KAgIr2

Crystalline KAgIr2 at its relaxed geometry (GGA-PBEsol, Alexandria via LeMat-Bulk).

Cell: 3.802 3.802 9.801 Å, 90.00 90.00 90.00°
Space group I4/mmm (No. 139)
One atom of each set of equivalent atoms:
K1 0.000 0.000 0.000 x2
Ag1 0.000 0.000 0.500 x2
Ir1 0.000 0.500 0.250 x4

offset from the most stable computed form = 655 meV per atom
density of states at the Fermi level = 1.144 states/eV/atom
calculated volume = 141.68 Å³ per cell
E_form = 424 kJ/mol of formula units
mass density = 12.46 Mg/m³
crystal system = tetragonal
uncorrected energy = -19.69 eV/f.u.



2.
# LaAg3Ir

Crystalline LaAg3Ir at its relaxed geometry (GGA-PBEsol, Alexandria via LeMat-Bulk).

Cell: 5.141 5.141 5.141 Å, 90.00 90.00 90.00°
Space group Pm-3m (No. 221)
One atom of each set of equivalent atoms:
La1 0.000 0.000 0.000 x1
Ag1 0.000 0.000 0.500 x3
Ir1 0.500 0.500 0.500 x1

density of states at the Fermi level = 1.232 states/eV/atom
calculated volume = 135.88 Å³ per cell
E_form = 1011 kJ/mol of formula units
mass density = 8.00 Mg/m³
crystal system = cubic
uncorrected energy = -14.63 eV/f.u.



3.
# LaYAg2Ir

Crystalline LaYAg2Ir at its relaxed geometry (GGA-PBEsol, Alexandria via LeMat-Bulk).

Cell: 5.166 5.166 4.989 Å, 90.00 90.00 90.00°
Space group P4/mmm (No. 123)
One atom of each set of equivalent atoms:
La1 0.000 0.000 0.000 x1
Y1 0.500 0.500 0.000 x1
Ag1 0.000 0.500 0.500 x2
Ir1 0.000 0.000 0.500 x1

density of states at the Fermi level = 0.956 states/eV/atom
calculated volume = 133.16 Å³ per cell
E_form = 142 kJ/mol of formula units
mass density = 7.93 Mg/m³
crystal system = tetragonal
uncorrected energy = -27.14 eV/f.u.



4.
# LaZnAg2Ir

Crystalline LaZnAg2Ir at its relaxed geometry (GGA-PBEsol, Alexandria via LeMat-Bulk).

Cell: 4.544 4.544 5.557 Å, 90.00 90.00 90.00°
Space group P4/mmm (No. 123)
One atom of each set of equivalent atoms:
La1 0.000 0.000 0.000 x1
Zn1 0.000 0.000 0.500 x1
Ag1 0.000 0.500 0.500 x2
Ir1 0.500 0.500 0.000 x1

density of states at the Fermi level = 0.719 states/eV/atom
calculated volume = 114.75 Å³ per cell
E_form = 360 kJ/mol of formula units
mass density = 8.86 Mg/m³
crystal system = tetragonal
uncorrected energy = -19.64 eV/f.u.



5.
# Li3AgIr

Crystalline Li3AgIr at its relaxed geometry (GGA-PBEsol, Alexandria via LeMat-Bulk).

Cell: 4.559 4.559 4.559 Å, 90.00 90.00 90.00°
Space group Pm-3m (No. 221)
One atom of each set of equivalent atoms:
Li1 0.000 0.000 0.500 x3
Ag1 0.500 0.500 0.500 x1
Ir1 0.000 0.000 0.000 x1

density of states at the Fermi level = 0.337 states/eV/atom
calculated volume = 94.73 Å³ per cell
E_form = 300 kJ/mol of formula units
mass density = 5.63 Mg/m³
crystal system = cubic
uncorrected energy = -15.93 eV/f.u.



6.
# LiAgIr2

Crystalline LiAgIr2 at its relaxed geometry (GGA-PBEsol, Alexandria via LeMat-Bulk).

Cell: 2.610 4.264 5.196 Å, 90.00 90.00 90.00°
Space group Pmmm (No. 47)
One atom of each set of equivalent atoms:
Li1 0.000 0.000 0.000 x1
Ag1 0.000 0.000 0.500 x1
Ir1 0.500 0.500 0.237 x2

density of states at the Fermi level = 1.177 states/eV/atom
calculated volume = 57.83 Å³ per cell
E_form = 115 kJ/mol of formula units
mass density = 14.34 Mg/m³
crystal system = orthorhombic
uncorrected energy = -23.74 eV/f.u.